# Li2NdCr2N4

An optimized crystal structure of Li2NdCr2N4 (PBE-GGA, Alexandria via LeMat-Bulk).

Cell lengths 3.280, 7.192, 8.255 Å; angles 139.79, 90.00, 103.18 degrees
Sites, in units of the cell vectors:
Li 0.874 0.748 0.470
Li 0.126 0.252 0.530
Nd 0.000 0.000 0.000
Cr 0.340 0.681 0.060
Cr 0.660 0.319 0.940
N 0.762 0.525 0.869
N 0.238 0.475 0.131
N 0.536 0.071 0.272
N 0.464 0.929 0.728

Calculated values
theoretical density: 4.49 g/cm3
symmetry: No. 12
ΔE_f (raw): -0.66 eV/atom
magnetization: 0.000 Bohr magnetons per cell